Record 1
Entry from the Alexandria database: a relaxed structure of LiPm2Zn2 (PBE).

```
5
Lattice="4.091 0.000 0.000 2.045 5.518 0.070 2.045 1.545 5.298" Properties=species:S:1:pos:R:3 pbc="T T T"
Li 0.000 0.000 0.000
Zn 4.091 2.577 3.940
Zn 4.091 4.486 1.428
Pm 6.136 4.965 3.773
Pm 2.045 2.098 1.594
```

Properties
Calculated total energy (eV per cell): -14.801
Calculated formation energy (eV per atom): -0.168



Record 2
Entry from the Alexandria database: a relaxed structure of CsP2S2 (PBE).

```
5
Lattice="-3.290 -3.520 0.195 1.898 -1.994 -3.959 3.140 -2.774 2.903" Properties=species:S:1:pos:R:3 pbc="T T T"
P -1.645 -1.760 0.097
P 0.949 -0.997 -1.979
S 1.570 -1.387 1.451
S 0.000 0.000 0.000
Cs 0.874 -4.144 -0.431
```

Properties
Calculated total energy (eV per cell): -17.007
Uncorrected formation energy (meV/atom): 584



Record 3
Entry from the Alexandria database: a relaxed structure of CsSn2Sb3 (PBE).

```
12
Lattice="-0.948 -3.862 -6.328 9.277 -0.612 -1.016 -4.634 -5.627 4.128" Properties=species:S:1:pos:R:3 pbc="T T T"
Sb 5.359 -4.853 -4.461
Sb 1.196 -5.437 0.933
Cs -0.708 -6.551 -2.516
Sb 2.500 -4.664 -4.148
Sb 3.932 -7.768 -2.468
Sn 7.472 -0.493 -0.818
Sn 1.331 -2.050 -3.362
Sn 1.805 -0.119 -0.198
Sb -1.663 -5.249 1.246
Sb -0.236 -2.334 -0.747
Cs 4.404 -3.550 -0.699
Sn 6.999 -2.424 -3.982
```

Properties
Calculated total energy (eV per cell): -43.846
Uncorrected formation energy (meV/atom): -116



Record 4
Entry from the Alexandria database: a relaxed structure of Ba2ScSe (PBE).

```
4
Lattice="-0.679 -1.034 3.785 -2.534 -2.817 -1.224 7.228 -6.316 -0.430" Properties=species:S:1:pos:R:3 pbc="T T T"
Se 3.814 -6.663 0.958
Sc 0.200 -3.505 1.173
Ba 3.970 -3.469 -0.236
Ba 6.872 -6.005 -0.409
```

Properties
Calculated total energy (eV per cell): -15.973
Uncorrected formation energy (meV/atom): -578



Record 5
Entry from the Alexandria database: a relaxed structure of Pu2Zr4Sc3 (PBE).

```
18
Lattice="-1.193 -3.508 -3.866 7.503 -4.625 -5.523 -0.197 -10.218 1.930" Properties=species:S:1:pos:R:3 pbc="T T T"
Zr 0.558 -10.028 -2.185
Sc 7.032 -13.619 -4.624
Zr 5.555 -8.323 -5.274
Pu 3.365 -11.381 -1.826
Zr 1.215 -12.797 -3.584
Zr 0.020 -7.753 -4.082
Pu 0.799 -7.064 -1.237
Zr 6.093 -10.598 -3.377
Sc 2.761 -10.051 -4.698
Zr 4.898 -5.555 -3.875
Sc 5.126 -16.324 -5.290
Sc 3.352 -8.300 -2.761
Pu 5.314 -11.287 -6.222
Zr 4.148 -13.332 -4.004
Zr 1.965 -5.019 -3.455
Pu 2.748 -6.970 -5.633
Sc 0.987 -2.027 -2.169
Sc -0.919 -4.732 -2.835
```

Properties
Calculated total energy (eV per cell): -161.537
Calculated formation energy (eV per atom): 0.120



Record 6
Entry from the Alexandria database: a relaxed structure of BaNa2LiCd (PBE).

```
5
Lattice="5.625 0.000 0.000 0.000 5.625 0.000 0.000 0.000 5.454" Properties=species:S:1:pos:R:3 pbc="T T T"
Ba 2.812 2.812 2.727
Cd 0.000 0.000 2.727
Na 2.812 0.000 0.000
Li 0.000 0.000 0.000
Na 0.000 2.812 0.000
```

Properties
Calculated total energy (eV per cell): -7.392
Calculated formation energy (eV per atom): 0.000



Record 7
Entry from the Alexandria database: a relaxed structure of Sc3Pt (PBE).

```
32
Lattice="-4.320 -2.361 3.297 -5.119 -3.182 -8.985 5.351 -9.400 0.281" Properties=species:S:1:pos:R:3 pbc="T T T"
Sc 1.432 -10.119 -4.933
Sc -1.554 -2.656 -3.501
Sc 1.187 -9.988 2.103
Sc -3.243 -9.934 -6.475
Pt -2.448 -13.144 -4.423
Sc 2.911 -8.987 -2.271
Pt -3.684 -9.270 -3.688
Sc -1.247 -7.806 -4.847
Sc -5.094 -4.151 -3.886
Pt -3.970 -3.072 0.794
Sc -2.963 -3.749 -6.217
Sc -4.280 -7.006 -2.352
Sc -4.733 -11.647 -4.243
Sc 0.652 -10.986 -1.251
Sc -4.200 -6.904 -5.472
Sc -1.398 -10.767 -3.868
Pt -2.394 -6.760 -0.201
Sc -0.565 -12.247 -6.562
Pt -2.442 -5.297 -4.121
Pt 2.963 -8.313 0.382
Sc -6.388 -8.863 -4.506
Pt -4.720 -5.356 -7.568
Sc -3.391 -5.501 1.916
Sc -0.490 -4.815 0.797
Sc -2.973 -4.331 -1.323
Sc -7.203 -6.008 -6.040
Pt 0.344 -8.558 -2.805
Sc -2.200 -9.244 -1.229
Sc -1.665 -8.246 2.125
Sc -0.449 -5.829 -2.386
Sc -1.595 -1.642 -0.317
Sc 0.396 -7.884 -0.152
```

Properties
Calculated total energy (eV per cell): -222.514
Calculated formation energy (eV per atom): -0.695



Record 8
Entry from the Alexandria database: a relaxed structure of Cs2ZnPbF6 (PBE).

```
10
Lattice="-3.148 3.679 -4.274 -1.153 -5.211 -3.637 -6.057 -1.480 -1.693" Properties=species:S:1:pos:R:3 pbc="T T T"
Cs -4.680 -3.729 -4.642
Zn -2.151 -0.766 -3.955
F -6.413 -1.918 -6.687
F -2.609 1.274 -4.101
F -1.693 -2.806 -3.809
F -3.945 -1.094 -2.916
F -1.164 -0.414 -2.140
Pb 0.000 0.000 0.000
Cs -5.678 0.717 -4.961
F -3.138 -1.117 -5.771
```

Properties
Calculated total energy (eV per cell): -43.268
Uncorrected formation energy (meV/atom): -2535



Record 9
Entry from the Alexandria database: a relaxed structure of AcHo2O (PBE).

```
4
Lattice="3.556 0.000 0.000 1.778 3.079 0.000 1.778 1.026 9.689" Properties=species:S:1:pos:R:3 pbc="T T T"
O 3.556 2.053 4.844
Ho 5.334 3.079 3.561
Ho 1.778 1.026 6.127
Ac 0.000 0.000 0.000
```

Properties
Calculated total energy (eV per cell): -22.911
Uncorrected formation energy (meV/atom): -1172



Record 10
Entry from the Alexandria database: a relaxed structure of Tb7Dy2Th (PBE).

```
10
Lattice="-1.389 2.529 -4.317 -7.723 -5.721 -0.866 0.406 8.376 4.776" Properties=species:S:1:pos:R:3 pbc="T T T"
Tb -7.581 1.923 0.444
Dy -5.990 -0.246 -1.339
Tb -6.125 -2.950 0.243
Tb -4.353 2.592 -0.203
Tb -5.826 4.966 1.662
Tb -2.881 0.217 -2.068
Dy -2.717 5.430 0.933
Tb -1.192 5.604 3.667
Tb -1.126 3.261 -0.850
Th 0.000 0.000 0.000
```

Properties
Calculated total energy (eV per cell): -41.876
Calculated formation energy (eV per atom): 0.716



Record 11
Entry from the Alexandria database: a relaxed structure of Cs3Bi2Te4 (PBE).

```
18
Lattice="-2.053 6.311 -7.872 -0.201 -8.241 -6.555 -8.810 2.869 5.125" Properties=species:S:1:pos:R:3 pbc="T T T"
Bi -3.703 -5.483 -3.859
Te -2.179 1.251 -5.328
Te -5.541 1.062 -8.809
Cs -4.134 4.336 -7.114
Cs -6.929 -3.397 -2.188
Te -1.263 -6.424 -4.986
Cs -7.998 -1.985 -7.511
Te -9.800 7.362 -4.316
Cs -1.645 0.416 -9.338
Bi -7.360 6.422 -5.443
Te -5.522 -0.123 -0.493
Bi -4.672 0.015 -5.932
Te -4.534 -2.890 -5.507
Cs -0.609 -2.346 -5.089
Cs -3.066 2.923 -1.791
Bi -6.391 0.924 -3.370
Te -8.884 -0.312 -3.974
Te -6.529 3.829 -3.795
```

Properties
Calculated total energy (eV per cell): -57.209
Uncorrected formation energy (meV/atom): -635



Record 12
Entry from the Alexandria database: a relaxed structure of AcTbTmTe3 (PBE).

```
12
Lattice="4.402 0.000 0.000 0.000 8.733 -0.417 0.000 -2.667 10.567" Properties=species:S:1:pos:R:3 pbc="T T T"
Te 1.100 2.329 8.178
Te 1.100 5.381 5.359
Te 3.301 3.736 1.972
Te 1.100 -1.548 9.392
Ac 1.100 1.098 2.247
Te 3.301 7.614 0.758
Tm 3.301 6.413 3.608
Ac 3.301 4.968 7.902
Tb 1.100 5.524 0.709
Tb 3.301 0.542 9.441
Tm 1.100 -0.347 6.541
Te 3.301 0.685 4.790
```

Properties
Calculated total energy (eV per cell): -60.248
Uncorrected formation energy (meV/atom): -1248



Fermi-level density of states in states/eV/f.u., matching the order above: 4.68; 5.73; 2.44; 4.61; 15.90; 3.53; 4.87; 0.00; 3.94; 16.07; 3.39; 4.38
Density in g/cm3, matching the order above: 5.96; 3.63; 5.03; 4.34; 7.72; 2.91; 6.32; 5.68; 8.97; 7.12; 4.43; 7.76